Entry 1:
# AcNdCo2

An optimized crystal structure of AcNdCo2 (PBE, the Alexandria database).

Unit cell a=5.0374 b=5.0374 c=5.0374 alpha=60.00 beta=60.00 gamma=60.00
Last column: nearest neighbours and their distance in Å.
Sites, in units of the cell vectors:
Ac 0.0000 0.0000 0.0000  8 Co 3.08
Nd 0.5000 0.5000 0.5000  8 Co 3.08
Co 0.2500 0.2500 0.2500  4 Ac 3.08, 4 Nd 3.08
Co 0.7500 0.7500 0.7500  4 Ac 3.08, 4 Nd 3.08

Output
Space group = Fm-3m (225)
Calculated formation energy = 0.15 eV per atom
N(E_F) = 2.82 states/eV/f.u.
Energy relative to the lowest polymorph listed for this composition = 157.4 meV/atom
Size of the total moment = 0.2393 μB per atom

Entry 2:
# HoMn2Pt9

An optimized crystal structure of HoMn2Pt9 (PBE, the Alexandria database).

Unit cell a=4.0002 b=4.0002 c=11.9418 alpha=90.00 beta=90.00 gamma=90.00
Last column: nearest neighbours and their distance in Å.
Sites, in units of the cell vectors:
Ho 0.0000 0.0000 0.0000  12 Pt 2.83-2.92
Mn 0.0000 0.0000 0.3392  12 Pt 2.77-2.83
Mn 0.0000 0.0000 0.6608  12 Pt 2.77-2.83
Pt 0.0000 0.5000 0.1783  8 Pt 2.77-2.92, 2 Mn 2.77, 2 Ho 2.92
Pt 0.0000 0.5000 0.5000  4 Mn 2.77, 8 Pt 2.78-2.83
Pt 0.0000 0.5000 0.8217  8 Pt 2.77-2.92, 2 Mn 2.77, 2 Ho 2.92
Pt 0.5000 0.0000 0.1783  8 Pt 2.77-2.92, 2 Mn 2.77, 2 Ho 2.92
Pt 0.5000 0.0000 0.5000  4 Mn 2.77, 8 Pt 2.78-2.83
Pt 0.5000 0.0000 0.8217  8 Pt 2.77-2.92, 2 Mn 2.77, 2 Ho 2.92
Pt 0.5000 0.5000 0.0000  4 Ho 2.83, 8 Pt 2.92
Pt 0.5000 0.5000 0.3387  8 Pt 2.77-2.78, 4 Mn 2.83
Pt 0.5000 0.5000 0.6613  8 Pt 2.77-2.78, 4 Mn 2.83

Output
Space group = P4/mmm (123)
Calculated formation energy = -0.57 eV per atom
N(E_F) = 12.48 states/eV/f.u.
Size of the total moment = 0.6908 μB per atom

Entry 3:
# TaReSi

An optimized crystal structure of TaReSi (PBE, the Alexandria database).

Unit cell a=4.2513 b=4.2513 c=4.2513 alpha=60.00 beta=60.00 gamma=60.00
Last column: nearest neighbours and their distance in Å.
Sites, in units of the cell vectors:
Ta 0.0000 0.0000 0.0000  4 Re 2.60
Re 0.7500 0.7500 0.7500  4 Ta 2.60, 4 Si 2.60
Si 0.5000 0.5000 0.5000  4 Re 2.60

Output
Space group = F-43m (216)
N(E_F) = 3.58 states/eV/f.u.
ΔE_f (raw) = 0.149 eV/atom
Size of the total moment = 0.0000 μB per atom

Entry 4:
# CePmI6

An optimized crystal structure of CePmI6 (PBE, the Alexandria database).

Unit cell a=8.0633 b=8.0633 c=7.9901 alpha=91.75 beta=91.75 gamma=120.13
Last column: nearest neighbours and their distance in Å.
Sites, in units of the cell vectors:
Ce 0.0000 0.0000 0.0000  6 I 3.16-3.17
Pm 0.0000 0.0000 0.5000  6 I 3.13
I 0.0002 0.3015 0.2627  1 Pm 3.13, 1 Ce 3.16
I 0.9998 0.6985 0.7373  1 Pm 3.13, 1 Ce 3.16
I 0.3015 0.0002 0.2627  1 Pm 3.13, 1 Ce 3.16
I 0.3027 0.3027 0.7650  1 Pm 3.13, 1 Ce 3.17
I 0.6973 0.6973 0.2350  1 Pm 3.13, 1 Ce 3.17
I 0.6985 0.9998 0.7373  1 Pm 3.13, 1 Ce 3.16

Output
Space group = C2/m (12)
N(E_F) = 5.37 states/eV/f.u.
ΔE_f (raw) = -1.355 eV/atom
Energy relative to the lowest polymorph listed for this composition = 0.0 meV/atom
Size of the total moment = 0.1250 μB per atom

Entry 5:
# YTi2CuRu

An optimized crystal structure of YTi2CuRu (PBE, the Alexandria database).

Unit cell a=4.5993 b=4.5993 c=4.9725 alpha=90.00 beta=90.00 gamma=90.00
Last column: nearest neighbours and their distance in Å.
Sites, in units of the cell vectors:
Y 0.0000 0.0000 0.0000  4 Cu 3.25, 8 Ti 3.39
Ti 0.0000 0.5000 0.5000  2 Ru 2.30
Ti 0.5000 0.0000 0.5000  2 Ru 2.30
Cu 0.5000 0.5000 0.0000  2 Ru 2.49
Ru 0.5000 0.5000 0.5000  4 Ti 2.30, 2 Cu 2.49

Output
Space group = P4/mmm (123)
Calculated formation energy = 0.21 eV per atom
N(E_F) = 5.66 states/eV/f.u.
Size of the total moment = 0.0001 μB per atom

Calculated DFT total energy, -22.49, -84.13, -29.28, -30.83, -34.60 eV/f.u. (same order as the records).